1.
Entry from the Alexandria database: a geometry-optimized Pm2Zn15Tc2 structure (PBE).

Lattice parameters (Å, degrees): 6.8033 6.8033 6.8033 83.48 83.48 83.48
Sites, in units of the cell vectors:
Pm 0.1596 0.1596 0.1596
Pm 0.8404 0.8404 0.8404
Zn 0.0000 0.5000 0.5000
Zn 0.1534 0.1534 0.6504
Zn 0.1534 0.6504 0.1534
Zn 0.2100 0.5000 0.7900
Zn 0.2100 0.7900 0.5000
Zn 0.3496 0.8466 0.8466
Zn 0.5000 0.0000 0.5000
Zn 0.5000 0.2100 0.7900
Zn 0.5000 0.5000 0.0000
Zn 0.5000 0.7900 0.2100
Zn 0.6504 0.1534 0.1534
Zn 0.7900 0.2100 0.5000
Zn 0.7900 0.5000 0.2100
Zn 0.8466 0.3496 0.8466
Zn 0.8466 0.8466 0.3496
Tc 0.4088 0.4088 0.4088
Tc 0.5912 0.5912 0.5912

Properties
SG: No. 166
ρ: 7.9 g cm⁻³
uncorrected energy: -2.788 eV/atom

=====

2.
Entry from the Alexandria database: a geometry-optimized PmZrTc4 structure (PBE).

Lattice parameters (Å, degrees): 5.3769 5.3769 5.3769 60.00 60.00 60.00
Sites, in units of the cell vectors:
Pm 0.0000 0.0000 0.0000
Zr 0.7500 0.7500 0.7500
Tc 0.3754 0.3754 0.3754
Tc 0.3754 0.3754 0.8737
Tc 0.3754 0.8737 0.3754
Tc 0.8737 0.3754 0.3754

Properties
SG: No. 216
ρ: 9.5 g cm⁻³
uncorrected energy: -9.213 eV/atom

=====

3.
Entry from the Alexandria database: a geometry-optimized Pm2Te structure (PBE).

Lattice parameters (Å, degrees): 4.4757 4.4757 8.9640 90.00 90.00 90.00
Sites, in units of the cell vectors:
Pm 0.2500 0.2500 0.1341
Pm 0.2500 0.7500 0.5000
Pm 0.7500 0.2500 0.5000
Pm 0.7500 0.7500 0.8659
Te 0.2500 0.2500 0.7741
Te 0.7500 0.7500 0.2259

Properties
SG: No. 129
polymorph energy (0 for the lowest one): 0.000 eV per atom
energy relative to the elements, uncorrected: -0.901 eV per atom
ρ: 7.7 g cm⁻³
uncorrected energy: -5.116 eV/atom